Record 1
# PBE-GGA CaAs2RhSe, relaxed
# * energy relative to the lowest polymorph listed for this composition: 1.3893 eV/atom
# * ΔE_f (raw): 1.0863 eV/atom
# * uncorrected energy: -3.341 eV/atom
# * SG: P4/mmm (123)
data_CaAs2RhSe
_space_group_name_H-M_alt 'P 1'
_space_group_IT_number 1
_cell_length_a 5.265
_cell_length_b 5.265
_cell_length_c 5.215
_cell_angle_alpha 90.00
_cell_angle_beta 90.00
_cell_angle_gamma 90.00
loop_
_space_group_symop_operation_xyz
'x,y,z'
loop_
_atom_site_label
_atom_site_type_symbol
_atom_site_fract_x
_atom_site_fract_y
_atom_site_fract_z
Ca1 Ca 0.000 0.000 0.000
As1 As 0.000 0.500 0.000
As2 As 0.500 0.000 0.000
Rh1 Rh 0.500 0.500 0.500
Se1 Se 0.000 0.000 0.500

---

Record 2
# PBE-GGA AgHgN3, relaxed
# * ΔE_f (raw): 2.6435 eV/atom
# * uncorrected energy: -2.982 eV/atom
# * SG: Pm-3m (221)
data_AgHgN3
_space_group_name_H-M_alt 'P 1'
_space_group_IT_number 1
_cell_length_a 4.272
_cell_length_b 4.272
_cell_length_c 4.272
_cell_angle_alpha 90.00
_cell_angle_beta 90.00
_cell_angle_gamma 90.00
loop_
_space_group_symop_operation_xyz
'x,y,z'
loop_
_atom_site_label
_atom_site_type_symbol
_atom_site_fract_x
_atom_site_fract_y
_atom_site_fract_z
Ag1 Ag 0.000 0.000 0.000
Hg1 Hg 0.500 0.500 0.500
N1 N 0.000 0.500 0.500
N2 N 0.500 0.000 0.500
N3 N 0.500 0.500 0.000

---

Record 3
# PBE-GGA Ce6UN8, relaxed
# * ΔE_f (raw): -1.3865 eV/atom
# * uncorrected energy: -8.953 eV/atom
# * SG: Fm-3m (225)
data_Ce6UN8
_space_group_name_H-M_alt 'P 1'
_space_group_IT_number 1
_cell_length_a 7.118
_cell_length_b 7.118
_cell_length_c 7.118
_cell_angle_alpha 60.00
_cell_angle_beta 60.00
_cell_angle_gamma 60.00
loop_
_space_group_symop_operation_xyz
'x,y,z'
loop_
_atom_site_label
_atom_site_type_symbol
_atom_site_fract_x
_atom_site_fract_y
_atom_site_fract_z
Ce1 Ce 0.000 0.000 0.500
Ce2 Ce 0.000 0.500 0.000
Ce3 Ce 0.000 0.500 0.500
Ce4 Ce 0.500 0.000 0.000
Ce5 Ce 0.500 0.000 0.500
Ce6 Ce 0.500 0.500 0.000
U1 U 0.000 0.000 0.000
N1 N 0.220 0.220 0.780
N2 N 0.220 0.780 0.220
N3 N 0.220 0.780 0.780
N4 N 0.250 0.250 0.250
N5 N 0.750 0.750 0.750
N6 N 0.780 0.220 0.220
N7 N 0.780 0.220 0.780
N8 N 0.780 0.780 0.220